[1]
Mg: optimized geometry, PBEsol.

Results
- Energy of formation: 2 meV per atom
- Magnetization: 0.0 μB/f.u.
- Volume: 22.53 Å³/atom
- Offset from the most stable computed form: 2 meV per atom

a b c (Å): 3.190 3.190 7.876
angles (deg): 78.45 78.45 60.10
Fractional positions:
Mg 0.222 0.222 0.334
Mg 0.000 0.000 0.000
Mg 0.778 0.778 0.666



[2]
AgRh4: optimized geometry, PBEsol.

Results
- Energy of formation: 158 meV per atom
- Magnetization: 0.0 μB/f.u.
- Volume: 14.01 Å³/atom
- Offset from the most stable computed form: 61 meV per atom

a b c (Å): 2.703 4.689 6.051
angles (deg): 75.28 77.09 73.25
Fractional positions:
Rh 0.394 0.796 0.415
Rh 0.195 0.408 0.203
Rh 0.805 0.592 0.797
Rh 0.606 0.204 0.585
Ag 0.000 0.000 0.000



[3]
NbNCl3: optimized geometry, PBEsol.

Results
- Magnetization: 2.9 μB/f.u.
- Volume: 22.58 Å³/atom
- E_form (uncorrected): 264 meV per atom

a b c (Å): 4.833 4.833 4.833
angles (deg): 90.00 90.00 90.00
Fractional positions:
Nb 0.000 0.000 0.000
Cl 0.000 0.000 0.500
Cl 0.000 0.500 0.000
Cl 0.500 0.000 0.000
N 0.500 0.500 0.500